# TiCo3P4O16 | the Alexandria database | GGA+U | relaxed
# - V (Å³ per cell) = 286.4
# - Fermi-level density of states (states/eV per atom) = 0.059
# - final energy (eV/atom) = -7.111
data_TiCo3P4O16
_cell_length_a 4.9081
_cell_length_b 5.9339
_cell_length_c 9.8337
_cell_angle_alpha 90.00
_cell_angle_beta 90.27
_cell_angle_gamma 90.00
_symmetry_space_group_name_H-M 'P 1 m 1'
_symmetry_Int_Tables_number 6
loop_
_symmetry_equiv_pos_as_xyz
'x,y,z'
'x,-y,z'
loop_
_atom_site_label
_atom_site_fract_x
_atom_site_fract_y
_atom_site_fract_z
_atom_site_occupancy
Ti1 0.0000 0.0000 0.0000 1
Co1 0.4110 0.0000 0.5060 1
Co2 0.5023 0.5000 0.0490 1
Co3 0.9193 0.5000 0.5438 1
P1 0.0256 0.5000 0.8663 1
P2 0.3569 0.5000 0.3735 1
P3 0.5736 0.0000 0.1798 1
P4 0.8541 0.0000 0.6737 1
O1 0.1038 0.5000 0.7144 1
O2 0.1644 0.0000 0.6498 1
O3 0.1677 0.2925 0.9407 1
O4 0.2097 0.2960 0.4448 1
O5 0.2707 0.0000 0.1383 1
O6 0.3096 0.5000 0.2216 1
O7 0.6022 0.0000 0.3340 1
O8 0.6673 0.5000 0.4030 1
O9 0.7054 0.2036 0.6067 1
O10 0.7207 0.5000 0.8837 1
O11 0.7289 0.1984 0.1078 1
O12 0.8116 0.0000 0.8300 1